Record 1
Here is a relaxed structure of Th4ZnC2 from Alexandria via LeMat-Bulk. Energies are from PBE.

Computed properties:
E_form	-0.216	eV per atom
volume	161.2	Å³/f.u.

POSCAR file:
```
Th4ZnC2
1.0
1.894 -6.347 0.000
1.894 6.347 0.000
0.000 0.000 13.412
Th Zn C
8 2 4
Cartesian
0.000 0.000 0.000 Th
0.000 0.000 6.706 Th
1.894 2.939 8.137 Th
1.894 2.939 11.981 Th
1.894 0.983 3.353 Th
1.894 -0.983 10.059 Th
1.894 -2.939 1.431 Th
1.894 -2.939 5.275 Th
1.894 4.985 3.353 Zn
1.894 -4.985 10.059 Zn
1.894 1.750 0.837 C
1.894 1.750 5.869 C
1.894 -1.750 7.543 C
1.894 -1.750 12.576 C
```

Record 2
Here is a relaxed structure of Th3ZnC from Alexandria via LeMat-Bulk. Energies are from PBE.

Computed properties:
E_form	-0.204	eV per atom
volume	124.0	Å³/f.u.

POSCAR file:
```
Th3ZnC
1.0
3.734 0.000 0.000
-1.864 6.483 0.000
-0.011 -2.221 10.241
Th Zn C
6 2 2
Cartesian
0.000 1.119 2.026 Th
-0.005 0.825 6.224 Th
0.000 4.471 0.946 Th
1.860 -0.209 9.295 Th
1.865 3.436 4.017 Th
1.860 3.143 8.215 Th
-0.003 4.743 6.283 Zn
1.863 -0.481 3.958 Zn
-0.007 1.494 8.679 C
1.867 2.768 1.562 C
```

Record 3
Here is a relaxed structure of Th6ZnC5 from Alexandria via LeMat-Bulk. Energies are from PBE.

Computed properties:
E_form	-0.040	eV per atom
volume	244.3	Å³/f.u.

POSCAR file:
```
Th6ZnC5
1.0
6.626 0.000 0.000
-3.313 5.738 0.000
0.000 0.000 12.854
Th Zn C
12 2 10
Cartesian
-1.238 2.144 1.549 Th
-1.238 2.144 4.878 Th
-2.075 3.594 7.975 Th
-2.075 3.594 11.305 Th
2.476 0.000 1.549 Th
2.476 0.000 4.878 Th
1.238 2.144 7.975 Th
1.238 2.144 11.305 Th
4.150 0.000 7.975 Th
4.150 0.000 11.305 Th
2.075 3.594 1.549 Th
2.075 3.594 4.878 Th
0.000 0.000 3.213 Zn
0.000 0.000 9.640 Zn
-1.048 1.816 9.640 C
-2.265 3.922 3.213 C
2.097 0.000 9.640 C
1.048 1.816 3.213 C
0.000 3.825 0.000 C
0.000 3.825 6.427 C
3.313 1.913 0.000 C
3.313 1.913 6.427 C
4.529 0.000 3.213 C
2.265 3.922 9.640 C
```

Record 4
Here is a relaxed structure of ThZrC from Alexandria via LeMat-Bulk. Energies are from PBE.

Computed properties:
E_form	-0.296	eV per atom
volume	63.3	Å³/f.u.

POSCAR file:
```
ThZrC
1.0
3.472 0.000 0.000
-1.736 3.007 0.000
0.000 0.000 6.068
Th Zr C
1 1 1
Cartesian
0.000 0.000 0.000 Th
0.000 2.004 3.312 Zr
1.736 1.002 4.450 C
```

Record 5
Here is a relaxed structure of Th4ZrC4 from Alexandria via LeMat-Bulk. Energies are from PBE.

Computed properties:
E_form	-0.353	eV per atom
volume	174.2	Å³/f.u.

POSCAR file:
```
Th4ZrC4
1.0
6.105 -1.817 0.000
6.105 1.817 0.000
-4.575 0.000 7.853
Th Zr C
4 1 4
Cartesian
-0.513 0.000 3.011 Th
2.738 0.000 1.490 Th
4.896 0.000 6.362 Th
8.147 0.000 4.841 Th
6.105 0.000 0.000 Zr
-3.007 0.000 7.167 C
0.539 0.000 5.578 C
7.095 0.000 2.275 C
10.641 0.000 0.686 C
```

Record 6
Here is a relaxed structure of ThZrC from Alexandria via LeMat-Bulk. Energies are from PBE.

Computed properties:
E_form	-0.286	eV per atom
volume	62.6	Å³/f.u.

POSCAR file:
```
ThZrC
1.0
3.477 0.000 0.000
0.000 5.424 0.000
-1.677 0.000 6.642
Th Zr C
2 2 2
Cartesian
0.028 1.356 2.337 Th
1.772 4.068 4.306 Th
0.036 1.356 5.700 Zr
1.765 4.068 0.942 Zr
0.028 4.068 2.391 C
1.772 1.356 4.251 C
```

Record 7
Here is a relaxed structure of ThZr3C from Alexandria via LeMat-Bulk. Energies are from PBE.

Computed properties:
E_form	-0.098	eV per atom
volume	106.0	Å³/f.u.

POSCAR file:
```
ThZr3C
1.0
4.732 0.000 0.000
0.000 4.732 0.000
0.000 0.000 4.732
Th Zr C
1 3 1
Cartesian
0.000 0.000 0.000 Th
0.000 2.366 2.366 Zr
2.366 0.000 2.366 Zr
2.366 2.366 0.000 Zr
2.366 2.366 2.366 C
```

Record 8
Here is a relaxed structure of ThZrC2 from Alexandria via LeMat-Bulk. Energies are from PBE.

Computed properties:
E_form	0.066	eV per atom
volume	65.4	Å³/f.u.

POSCAR file:
```
ThZrC2
1.0
3.029 -1.749 0.000
3.029 1.749 0.000
-0.008 0.000 6.168
Th Zr C
1 1 2
Cartesian
0.000 0.000 0.000 Th
-0.004 0.000 3.084 Zr
2.014 0.000 4.488 C
4.036 0.000 1.680 C
```

Record 9
Here is a relaxed structure of ThZrC2 from Alexandria via LeMat-Bulk. Energies are from PBE.

Computed properties:
E_form	-0.421	eV per atom
volume	64.4	Å³/f.u.

POSCAR file:
```
ThZrC2
1.0
1.774 1.024 5.903
-1.774 1.024 5.903
0.000 -2.049 5.903
Th Zr C
1 1 2
Cartesian
0.000 0.000 0.000 Th
0.000 0.000 8.855 Zr
0.000 0.000 4.279 C
0.000 0.000 13.430 C
```

Record 10
Here is a relaxed structure of ThZrC2 from Alexandria via LeMat-Bulk. Energies are from PBE.

Computed properties:
E_form	-0.125	eV per atom
volume	64.8	Å³/f.u.

POSCAR file:
```
ThZrC2
1.0
1.765 1.019 6.001
-1.765 1.019 6.001
0.000 -2.039 6.001
Th Zr C
1 1 2
Cartesian
0.000 0.000 0.000 Th
0.000 0.000 14.883 Zr
0.000 0.000 7.469 C
0.000 0.000 10.148 C
```

Record 11
Here is a relaxed structure of Ti4C from Alexandria via LeMat-Bulk. Energies are from PBE.

Computed properties:
E_form	-0.255	eV per atom
volume	75.7	Å³/f.u.

POSCAR file:
```
Ti4C
1.0
4.230 0.000 0.000
0.000 4.230 0.000
0.000 0.000 4.230
Ti C
4 1
Cartesian
0.000 0.000 0.000 Ti
0.000 2.115 2.115 Ti
2.115 0.000 2.115 Ti
2.115 2.115 0.000 Ti
2.115 2.115 2.115 C
```

Record 12
Here is a relaxed structure of TiC from Alexandria via LeMat-Bulk. Energies are from PBE.

Computed properties:
E_form	-0.447	eV per atom
volume	27.5	Å³/f.u.

POSCAR file:
```
TiC
1.0
-3.590 3.590 2.135
3.590 -3.590 2.135
3.590 3.590 -2.135
Ti C
4 4
Cartesian
4.633 1.043 0.000 Ti
1.043 2.546 0.000 Ti
2.546 1.043 2.135 Ti
-1.043 2.546 2.135 Ti
2.522 1.067 0.000 C
2.522 -1.067 2.135 C
1.067 4.657 0.000 C
1.067 2.522 2.135 C
```

What is the E_form in the ninth record? -0.421 eV per atom

Which formula does entry 3 have? Th6ZnC5